[1]
First-principles (GGA-PBE) data for a geometry-optimized BaGd2Se4 structure, as listed in Alexandria via LeMat-Bulk.

Results
The formation energy (no corrections) is -1989 meV/atom. The calculation puts the total energy at -8.2781 eV per atom. The calculated volume is 30.1 Å³ per atom. As for the symmetry: Pnma (62).

Lattice parameters (Å, degrees): 4.2658 12.8853 15.3424 90.00 90.00 90.00
Positions (direct):
Ba: 0.2500 0.7583 0.3367
Ba: 0.2500 0.2583 0.1633
Ba: 0.7500 0.2417 0.6633
Ba: 0.7500 0.7417 0.8367
Gd: 0.2500 0.4330 0.3912
Gd: 0.2500 0.9330 0.1088
Gd: 0.7500 0.5670 0.6088
Gd: 0.7500 0.0670 0.8912
Gd: 0.2500 0.4209 0.8994
Gd: 0.2500 0.9209 0.6006
Gd: 0.7500 0.5791 0.1006
Gd: 0.7500 0.0791 0.3994
Se: 0.2500 0.2073 0.8331
Se: 0.2500 0.7073 0.6669
Se: 0.7500 0.7927 0.1669
Se: 0.7500 0.2927 0.3331
Se: 0.2500 0.1273 0.5245
Se: 0.2500 0.6273 0.9755
Se: 0.7500 0.8727 0.4755
Se: 0.7500 0.3727 0.0245
Se: 0.2500 0.5226 0.2167
Se: 0.2500 0.0226 0.2833
Se: 0.7500 0.4774 0.7833
Se: 0.7500 0.9774 0.7167
Se: 0.2500 0.4166 0.5780
Se: 0.2500 0.9166 0.9220
Se: 0.7500 0.5834 0.4220
Se: 0.7500 0.0834 0.0780

[2]
First-principles (GGA-PBE) data for a geometry-optimized SiB2Br structure, as listed in Alexandria via LeMat-Bulk.

Results
The formation energy (no corrections) is 50 meV/atom. The calculation puts the total energy at -5.0632 eV per atom. The calculated volume is 18.6 Å³ per atom. As for the symmetry: P1 (1).

Lattice parameters (Å, degrees): 3.3826 4.3442 10.3956 82.88 86.69 79.19
Positions (direct):
Si: 0.0817 0.0763 0.7194
Si: 0.8790 0.2094 0.4573
B: 0.7389 0.6004 0.5534
B: 0.5432 0.2695 0.6461
B: 0.2157 0.6377 0.5973
B: 0.4002 0.9758 0.5425
Br: 0.7936 0.2098 0.2447
Br: 0.1707 0.7715 0.9100

[3]
First-principles (GGA-PBE) data for a geometry-optimized TbTm2Fe structure, as listed in Alexandria via LeMat-Bulk.

Results
The calculation puts the total energy at -5.4676 eV per atom. The calculated volume is 24.4 Å³ per atom. As for the symmetry: P4/mmm (123).

Lattice parameters (Å, degrees): 3.3127 3.3127 8.8959 90.00 90.00 90.00
Positions (direct):
Tm: 0.0000 0.0000 0.8220
Tm: 0.0000 0.0000 0.1780
Tb: 0.5000 0.5000 0.5000
Fe: 0.5000 0.5000 0.0000

[4]
First-principles (GGA-PBE) data for a geometry-optimized TePt2W structure, as listed in Alexandria via LeMat-Bulk.

Results
The formation energy (no corrections) is 452 meV/atom. The calculation puts the total energy at -6.5922 eV per atom. The calculated volume is 24.5 Å³ per atom. As for the symmetry: I-42d (122).

Lattice parameters (Å, degrees): 6.4270 6.4270 6.5681 60.71 60.71 90.00
Positions (direct):
Te: 0.5000 0.5000 0.0000
Te: 0.2500 0.7500 0.5000
W: 0.0000 0.0000 0.0000
W: 0.7500 0.2500 0.5000
Pt: 0.6529 0.1250 0.2500
Pt: 0.0971 0.6250 0.2500
Pt: 0.3750 0.3471 0.7500
Pt: 0.8750 0.9029 0.7500

[5]
First-principles (GGA-PBE) data for a geometry-optimized Ac3ZnPd9Au2 structure, as listed in Alexandria via LeMat-Bulk.

Results
The calculation puts the total energy at -4.7957 eV per atom. The calculated volume is 23.4 Å³ per atom. As for the symmetry: P-3m1 (164).

Lattice parameters (Å, degrees): 7.9796 7.9796 6.3688 90.00 90.00 120.00
Positions (direct):
Ac: 0.3333 0.6667 0.6796
Ac: 0.0000 0.0000 0.0000
Ac: 0.6667 0.3333 0.3204
Zn: 0.0000 0.0000 0.5000
Pd: 0.8425 0.1575 0.6638
Pd: 0.8425 0.6850 0.6638
Pd: 0.3150 0.1575 0.6638
Pd: 0.6850 0.8425 0.3362
Pd: 0.1575 0.3150 0.3362
Pd: 0.1575 0.8425 0.3362
Pd: 0.5000 0.0000 0.0000
Pd: 0.0000 0.5000 0.0000
Pd: 0.5000 0.5000 0.0000
Au: 0.3333 0.6667 0.1913
Au: 0.6667 0.3333 0.8087

[6]
First-principles (GGA-PBE) data for a geometry-optimized Hg2S13 structure, as listed in Alexandria via LeMat-Bulk.

Results
The formation energy (no corrections) is 510 meV/atom. The calculation puts the total energy at -3.1070 eV per atom. The calculated volume is 33.1 Å³ per atom. As for the symmetry: R-3m (166).

Lattice parameters (Å, degrees): 6.5399 6.5399 13.9322 76.43 76.43 60.00
Positions (direct):
Hg: 0.6623 0.6623 0.0130
Hg: 0.3377 0.3377 0.9870
S: 0.5000 0.5000 0.5000
S: 0.9702 0.6488 0.7321
S: 0.6488 0.6488 0.7321
S: 0.6488 0.9702 0.7321
S: 0.3512 0.0298 0.2679
S: 0.0298 0.3512 0.2679
S: 0.3512 0.3512 0.2679
S: 0.0875 0.7609 0.3907
S: 0.7609 0.7609 0.3907
S: 0.7609 0.0875 0.3907
S: 0.2391 0.9125 0.6093
S: 0.9125 0.2391 0.6093
S: 0.2391 0.2391 0.6093

[7]
First-principles (GGA-PBE) data for a geometry-optimized Zr2GaO structure, as listed in Alexandria via LeMat-Bulk.

Results
The formation energy (no corrections) is -545 meV/atom. The calculation puts the total energy at -6.8157 eV per atom. The calculated volume is 16.6 Å³ per atom. As for the symmetry: Fm-3m (225).

Lattice parameters (Å, degrees): 4.5450 4.5450 4.5450 60.00 60.00 60.00
Positions (direct):
O: 0.0000 0.0000 0.0000
Ga: 0.5000 0.5000 0.5000
Zr: 0.2500 0.2500 0.2500
Zr: 0.7500 0.7500 0.7500

[8]
First-principles (GGA-PBE) data for a geometry-optimized DyAl2ZnCu4 structure, as listed in Alexandria via LeMat-Bulk.

Results
The calculation puts the total energy at -3.9606 eV per atom. The calculated volume is 15.6 Å³ per atom. As for the symmetry: R-3m (166).

Lattice parameters (Å, degrees): 4.1655 4.1655 8.6512 76.07 76.07 60.00
Positions (direct):
Dy: 0.0000 0.0000 0.0000
Al: 0.7580 0.7580 0.7259
Al: 0.2420 0.2420 0.2741
Zn: 0.5000 0.5000 0.5000
Cu: 0.4017 0.4017 0.7948
Cu: 0.8686 0.8686 0.3941
Cu: 0.1314 0.1314 0.6059
Cu: 0.5983 0.5983 0.2052

[9]
First-principles (GGA-PBE) data for a geometry-optimized AgBiSb2 structure, as listed in Alexandria via LeMat-Bulk.

Results
The formation energy (no corrections) is 137 meV/atom. The calculation puts the total energy at -3.6071 eV per atom. The calculated volume is 28.7 Å³ per atom. As for the symmetry: R3m (160).

Lattice parameters (Å, degrees): 4.4212 4.4212 7.2419 72.23 72.23 60.00
Positions (direct):
Ag: 0.6682 0.6682 0.9954
Bi: 0.5011 0.5011 0.4966
Sb: 0.0659 0.0659 0.8024
Sb: 0.2648 0.2648 0.2055

[10]
First-principles (GGA-PBE) data for a geometry-optimized TbPmRe4 structure, as listed in Alexandria via LeMat-Bulk.

Results
The calculation puts the total energy at -9.9336 eV per atom. The calculated volume is 19.2 Å³ per atom. As for the symmetry: F-43m (216).

Lattice parameters (Å, degrees): 5.4612 5.4612 5.4612 60.00 60.00 60.00
Positions (direct):
Re: 0.6251 0.6251 0.1248
Re: 0.6251 0.1248 0.6251
Re: 0.6251 0.6251 0.6251
Re: 0.1248 0.6251 0.6251
Tb: 0.0000 0.0000 0.0000
Pm: 0.2500 0.2500 0.2500

[11]
First-principles (GGA-PBE) data for a geometry-optimized BeOsPt2S structure, as listed in Alexandria via LeMat-Bulk.

Results
The formation energy (no corrections) is 1349 meV/atom. The calculation puts the total energy at -4.8835 eV per atom. The calculated volume is 19.8 Å³ per atom. As for the symmetry: P4/mmm (123).

Lattice parameters (Å, degrees): 4.8154 4.2731 4.8154 90.00 90.00 90.00
Positions (direct):
Be: 0.0000 0.5000 0.0000
S: 0.5000 0.5000 0.5000
Os: 0.0000 0.0000 0.0000
Pt: 0.0000 0.0000 0.5000
Pt: 0.5000 0.0000 0.0000

[12]
First-principles (GGA-PBE) data for a geometry-optimized NaEuHoPb structure, as listed in Alexandria via LeMat-Bulk.

Results
The calculation puts the total energy at -5.1624 eV per atom. The calculated volume is 30.1 Å³ per atom. As for the symmetry: F-43m (216).

Lattice parameters (Å, degrees): 5.5415 5.5415 5.5415 60.00 60.00 60.00
Positions (direct):
Pb: 0.5000 0.5000 0.5000
Eu: 0.7500 0.7500 0.7500
Ho: 0.2500 0.2500 0.2500
Na: 0.0000 0.0000 0.0000

no.,theoretical density (g/cm³)
1,6.05
2,2.89
3,9.40
4,11.90
5,9.92
6,2.73
7,6.71
8,7.13
9,8.11
10,15.12
11,10.41
12,7.55